Material: AlRhSe2
Method: DFT, GGA-PBE
State: optimized geometry Values from VASP.

Structure (Quantum ESPRESSO input):
```
&SYSTEM
  ibrav = 0, nat = 4, ntyp = 3
/
ATOMIC_SPECIES
Al 26.98 Al.upf
Se 78.96 Se.upf
Rh 102.91 Rh.upf
ATOMIC_POSITIONS angstrom
Al 1.585 1.584 1.710
Se 0.000 0.000 3.521
Rh 1.585 1.584 5.131
Se 0.000 0.000 6.740
CELL_PARAMETERS angstrom
3.169 0.000 0.000
0.000 3.169 0.000
0.000 0.000 6.841
```

**Spin magnetization**: 0.00 μB/cell
**Crystal system**: tetragonal
**ΔE_f (raw)**: 0.065 eV per atom
**VASP energy**: -0.3271 Ry per atom

---

Material: AlRhSe2
Method: DFT, GGA-PBE
State: optimized geometry Values from VASP.

Structure (Quantum ESPRESSO input):
```
&SYSTEM
  ibrav = 0, nat = 4, ntyp = 3
/
ATOMIC_SPECIES
Se 78.96 Se.upf
Rh 102.91 Rh.upf
Al 26.98 Al.upf
ATOMIC_POSITIONS angstrom
Se 5.415 2.345 4.374
Rh 2.562 1.110 2.846
Al 4.728 2.048 2.053
Se 6.929 3.001 1.028
CELL_PARAMETERS angstrom
4.402 0.001 0.056
3.012 3.211 0.056
0.732 0.317 6.682
```

**Spin magnetization**: 0.00 μB/cell
**Crystal system**: monoclinic
**ΔE_f (raw)**: -0.467 eV per atom
**VASP energy**: -0.3662 Ry per atom

---

Material: AlRh2Se
Method: DFT, GGA-PBE
State: optimized geometry Values from VASP.

Structure (Quantum ESPRESSO input):
```
&SYSTEM
  ibrav = 0, nat = 4, ntyp = 3
/
ATOMIC_SPECIES
Al 26.98 Al.upf
Se 78.96 Se.upf
Rh 102.91 Rh.upf
ATOMIC_POSITIONS angstrom
Al 1.207 -1.244 2.048
Se -1.238 -2.338 0.448
Rh 1.340 -2.815 -0.122
Rh 0.000 0.000 0.000
CELL_PARAMETERS angstrom
-1.106 -3.909 -1.722
3.785 -1.722 1.478
-1.371 -0.766 2.619
```

**ΔE to the lowest computed polymorph**: 7.3 kJ/mol of atoms
**Spin magnetization**: 0.00 μB/cell
**Crystal system**: tetragonal
**ΔE_f (raw)**: -0.376 eV per atom
**VASP energy**: -0.4306 Ry per atom

---

Material: AlRhSe2
Method: DFT, GGA-PBE
State: optimized geometry Values from VASP.

Structure (Quantum ESPRESSO input):
```
&SYSTEM
  ibrav = 0, nat = 4, ntyp = 3
/
ATOMIC_SPECIES
Se 78.96 Se.upf
Rh 102.91 Rh.upf
Al 26.98 Al.upf
ATOMIC_POSITIONS angstrom
Se 0.422 -2.603 2.538
Rh 0.412 -2.555 -0.050
Se 0.000 0.000 0.000
Al 3.122 -2.116 -0.054
CELL_PARAMETERS angstrom
-2.289 -3.042 2.542
3.112 -2.068 -2.642
3.132 -2.164 2.533
```

**Spin magnetization**: 0.00 μB/cell
**Crystal system**: tetragonal
**ΔE_f (raw)**: -0.143 eV per atom
**VASP energy**: -0.3424 Ry per atom

---

Material: AlRhSe2
Method: DFT, GGA-PBE
State: optimized geometry Values from VASP.

Structure (Quantum ESPRESSO input):
```
&SYSTEM
  ibrav = 0, nat = 4, ntyp = 3
/
ATOMIC_SPECIES
Se 78.96 Se.upf
Al 26.98 Al.upf
Rh 102.91 Rh.upf
ATOMIC_POSITIONS angstrom
Se -2.087 -1.478 5.657
Se -2.430 -1.641 1.105
Al -1.208 -0.855 3.275
Rh -3.334 -2.281 3.557
CELL_PARAMETERS angstrom
-3.371 -2.227 -1.825
0.241 -2.868 3.054
-2.516 1.257 3.114
```

**Spin magnetization**: 0.00 μB/cell
**Crystal system**: orthorhombic
**ΔE_f (raw)**: -0.457 eV per atom
**VASP energy**: -0.3655 Ry per atom

---

Material: AlRhSe2
Method: DFT, GGA-PBE
State: optimized geometry Values from VASP.

Structure (Quantum ESPRESSO input):
```
&SYSTEM
  ibrav = 0, nat = 4, ntyp = 3
/
ATOMIC_SPECIES
Rh 102.91 Rh.upf
Se 78.96 Se.upf
Al 26.98 Al.upf
ATOMIC_POSITIONS angstrom
Rh -0.926 -2.469 1.163
Se 0.000 0.000 0.000
Al 1.421 -3.775 0.120
Se 1.725 -1.451 1.796
CELL_PARAMETERS angstrom
-1.231 -4.794 -0.513
4.073 -2.757 0.752
-2.043 3.631 2.719
```

**Spin magnetization**: 0.00 μB/cell
**Crystal system**: tetragonal
**ΔE_f (raw)**: 0.128 eV per atom
**VASP energy**: -0.3225 Ry per atom

---

Material: AlRhSe2
Method: DFT, GGA-PBE
State: optimized geometry Values from VASP.

Structure (Quantum ESPRESSO input):
```
&SYSTEM
  ibrav = 0, nat = 8, ntyp = 3
/
ATOMIC_SPECIES
Se 78.96 Se.upf
Al 26.98 Al.upf
Rh 102.91 Rh.upf
ATOMIC_POSITIONS angstrom
Se 4.266 1.421 1.400
Al 2.842 2.842 0.000
Al 2.842 5.684 2.800
Rh 5.684 2.842 2.800
Rh 0.000 0.000 0.000
Se 4.263 4.261 4.200
Se 1.419 4.263 1.400
Se 7.105 7.108 4.200
CELL_PARAMETERS angstrom
5.684 0.000 0.000
0.000 5.684 0.000
2.842 2.842 5.600
```

**Spin magnetization**: 0.00 μB/cell
**Crystal system**: tetragonal
**ΔE_f (raw)**: -0.331 eV per atom
**VASP energy**: -0.3563 Ry per atom

---

Material: AlRhSe
Method: DFT, GGA-PBE
State: optimized geometry Values from VASP.

Structure (Quantum ESPRESSO input):
```
&SYSTEM
  ibrav = 0, nat = 3, ntyp = 3
/
ATOMIC_SPECIES
Al 26.98 Al.upf
Rh 102.91 Rh.upf
Se 78.96 Se.upf
ATOMIC_POSITIONS angstrom
Al 0.000 0.000 0.000
Rh 2.182 1.260 1.461
Se 0.000 2.520 1.462
CELL_PARAMETERS angstrom
4.364 0.000 0.000
-2.182 3.780 0.000
0.000 0.000 2.924
```

**ΔE to the lowest computed polymorph**: 26.6 kJ/mol of atoms
**Spin magnetization**: 0.00 μB/cell
**Crystal system**: hexagonal
**ΔE_f (raw)**: -0.166 eV per atom
**VASP energy**: -0.3694 Ry per atom

---

Material: AlRh2Se
Method: DFT, GGA-PBE
State: optimized geometry Values from VASP.

Structure (Quantum ESPRESSO input):
```
&SYSTEM
  ibrav = 0, nat = 4, ntyp = 3
/
ATOMIC_SPECIES
Rh 102.91 Rh.upf
Se 78.96 Se.upf
Al 26.98 Al.upf
ATOMIC_POSITIONS angstrom
Rh 1.547 1.882 1.551
Rh 0.000 0.000 5.045
Se 0.000 0.000 2.349
Al 1.547 1.882 4.219
CELL_PARAMETERS angstrom
3.093 0.000 0.000
0.000 3.765 0.000
0.000 0.000 5.266
```

**ΔE to the lowest computed polymorph**: 4.2 kJ/mol of atoms
**Spin magnetization**: 0.00 μB/cell
**Crystal system**: orthorhombic
**ΔE_f (raw)**: -0.408 eV per atom
**VASP energy**: -0.4329 Ry per atom

---

Material: AlRhSe2
Method: DFT, GGA-PBE
State: optimized geometry Values from VASP.

Structure (Quantum ESPRESSO input):
```
&SYSTEM
  ibrav = 0, nat = 4, ntyp = 3
/
ATOMIC_SPECIES
Se 78.96 Se.upf
Rh 102.91 Rh.upf
Al 26.98 Al.upf
ATOMIC_POSITIONS angstrom
Se 0.000 0.000 0.000
Rh 0.000 3.315 1.787
Se 1.762 3.315 0.000
Al 1.762 0.000 1.787
CELL_PARAMETERS angstrom
3.525 0.000 0.000
0.000 6.630 0.000
0.000 0.000 3.574
```

**Spin magnetization**: 0.00 μB/cell
**Crystal system**: orthorhombic
**ΔE_f (raw)**: 0.068 eV per atom
**VASP energy**: -0.3269 Ry per atom

---

Material: Al3RhSe
Method: DFT, GGA-PBE
State: optimized geometry Values from VASP.

Structure (Quantum ESPRESSO input):
```
&SYSTEM
  ibrav = 0, nat = 5, ntyp = 3
/
ATOMIC_SPECIES
Se 78.96 Se.upf
Al 26.98 Al.upf
Rh 102.91 Rh.upf
ATOMIC_POSITIONS angstrom
Se 0.000 0.000 0.000
Al 1.793 -1.566 0.023
Al -1.177 -1.325 1.590
Rh -0.417 -4.099 -0.159
Al -1.033 -1.209 -1.772
CELL_PARAMETERS angstrom
-2.066 -2.418 -3.544
3.586 -3.132 0.046
-2.355 -2.649 3.180
```

**ΔE to the lowest computed polymorph**: 102.7 kJ/mol of atoms
**Spin magnetization**: 0.00 μB/cell
**Crystal system**: cubic
**ΔE_f (raw)**: 0.844 eV per atom
**VASP energy**: -0.2623 Ry per atom

---

Material: AlRhSe2
Method: DFT, GGA-PBE
State: optimized geometry Values from VASP.

Structure (Quantum ESPRESSO input):
```
&SYSTEM
  ibrav = 0, nat = 4, ntyp = 3
/
ATOMIC_SPECIES
Rh 102.91 Rh.upf
Al 26.98 Al.upf
Se 78.96 Se.upf
ATOMIC_POSITIONS angstrom
Rh 1.887 1.099 1.477
Al 5.662 3.298 4.432
Se 3.781 2.202 2.867
Se 5.647 3.288 0.076
CELL_PARAMETERS angstrom
3.782 0.006 -0.006
1.872 3.286 -0.006
1.897 1.105 5.921
```

**Spin magnetization**: 0.00 μB/cell
**Crystal system**: monoclinic
**ΔE_f (raw)**: -0.309 eV per atom
**VASP energy**: -0.3546 Ry per atom

---

Material: AlRh2Se
Method: DFT, GGA-PBE
State: optimized geometry Values from VASP.

Structure (Quantum ESPRESSO input):
```
&SYSTEM
  ibrav = 0, nat = 4, ntyp = 3
/
ATOMIC_SPECIES
Rh 102.91 Rh.upf
Al 26.98 Al.upf
Se 78.96 Se.upf
ATOMIC_POSITIONS angstrom
Rh -3.805 1.574 2.871
Al -6.201 -3.852 2.927
Se -2.067 -1.284 0.976
Rh -4.127 -2.519 1.961
CELL_PARAMETERS angstrom
-3.026 -3.043 -0.723
-1.443 -3.717 1.745
-3.798 1.623 2.881
```

**ΔE to the lowest computed polymorph**: 9.1 kJ/mol of atoms
**Spin magnetization**: 0.00 μB/cell
**Crystal system**: monoclinic
**ΔE_f (raw)**: -0.357 eV per atom
**VASP energy**: -0.4292 Ry per atom

---

Material: AlRhSe2
Method: DFT, GGA-PBE
State: optimized geometry Values from VASP.

Structure (Quantum ESPRESSO input):
```
&SYSTEM
  ibrav = 0, nat = 4, ntyp = 3
/
ATOMIC_SPECIES
Rh 102.91 Rh.upf
Al 26.98 Al.upf
Se 78.96 Se.upf
ATOMIC_POSITIONS angstrom
Rh 3.302 -3.489 3.782
Al 0.615 -1.050 2.423
Se 2.900 -2.633 1.467
Se 5.160 -4.683 2.609
CELL_PARAMETERS angstrom
-1.457 0.338 3.488
1.090 -4.459 0.888
4.283 -0.418 1.829
```

**Spin magnetization**: 0.00 μB/cell
**Crystal system**: orthorhombic
**ΔE_f (raw)**: -0.247 eV per atom
**VASP energy**: -0.3500 Ry per atom

---

Material: AlRh3Se
Method: DFT, GGA-PBE
State: optimized geometry Values from VASP.

Structure (Quantum ESPRESSO input):
```
&SYSTEM
  ibrav = 0, nat = 5, ntyp = 3
/
ATOMIC_SPECIES
Rh 102.91 Rh.upf
Se 78.96 Se.upf
Al 26.98 Al.upf
ATOMIC_POSITIONS angstrom
Rh -0.548 -2.059 0.720
Rh 2.024 -0.757 -0.625
Se 0.661 -3.312 -1.943
Rh -0.815 -0.496 -2.037
Al 0.000 0.000 0.000
CELL_PARAMETERS angstrom
-1.630 -0.991 -4.074
4.048 -1.514 -1.251
-1.095 -4.119 1.440
```

**ΔE to the lowest computed polymorph**: 24.9 kJ/mol of atoms
**Spin magnetization**: 1.39 μB/cell
**Crystal system**: cubic
**ΔE_f (raw)**: 0.649 eV per atom
**VASP energy**: -0.3827 Ry per atom